PBE PmP2Ru4, optimized geometry; energy above the most stable polymorph in this dataset = 0.0 meV/atom; calculated volume = 15.5 Å³/atom; energy relative to the elements = -0.68 eV/atom; density = 9.38 g/cm3; space-group type = No. 136
1.0
3.8100 0.0000 0.0000
0.0000 7.5364 0.0000
0.0000 0.0000 7.5364
Pm Ru P
2 8 4
Direct
0.5000 0.0000 0.0000
0.0000 0.5000 0.5000
0.0000 0.9255 0.6619
0.0000 0.0745 0.3381
0.5000 0.1619 0.5745
0.0000 0.6619 0.9255
0.5000 0.4255 0.8381
0.5000 0.5745 0.1619
0.5000 0.8381 0.4255
0.0000 0.3381 0.0745
0.0000 0.2247 0.7753
0.0000 0.7753 0.2247
0.5000 0.2753 0.2753
0.5000 0.7247 0.7247



PBE PmP12Ru4, optimized geometry; calculated volume = 15.6 Å³/atom; energy relative to the elements = -0.65 eV/atom; density = 5.77 g/cm3; space-group type = No. 204
1.0
-0.1362 -6.0237 -3.5794
5.9158 3.4579 -1.4704
-0.2658 -1.3585 6.8701
P Ru Pm
12 4 1
Direct
0.6425 0.7858 0.1434
0.5009 0.1434 0.3575
0.2142 0.8566 0.3575
0.4991 0.8566 0.6425
0.6425 0.4991 0.8566
0.7858 0.1434 0.6425
0.1434 0.6425 0.7858
0.3575 0.2142 0.8566
0.1434 0.3575 0.5009
0.8566 0.3575 0.2142
0.3575 0.5009 0.1434
0.8566 0.6425 0.4991
0.5000 0.5000 0.5000
0.0000 0.5000 0.0000
0.5000 0.0000 0.0000
0.0000 0.0000 0.5000
0.0000 0.0000 0.0000



PBE PmP2Ru, optimized geometry; energy above the most stable polymorph in this dataset = 84.8 meV/atom; calculated volume = 19.2 Å³/atom; energy relative to the elements = -0.84 eV/atom; density = 6.67 g/cm3; space-group type = No. 119
1.0
-1.9090 -3.4518 -0.5706
2.1617 -1.6801 2.8963
-3.4561 3.8713 2.0796
Pm P Ru
1 2 1
Direct
0.2217 0.8808 0.2282
0.8491 0.5092 0.4841
0.5934 0.2533 0.9722
0.4710 0.6314 0.7282



PBE PmPRu, optimized geometry; energy above the most stable polymorph in this dataset = 592.5 meV/atom; calculated volume = 23.5 Å³/atom; energy relative to the elements = -0.39 eV/atom; density = 6.52 g/cm3; space-group type = No. 51
1.0
-3.6029 -1.7619 0.1073
1.7657 -3.5942 0.2697
-0.0488 0.6321 8.7423
P Pm Ru
2 2 2
Direct
0.0000 0.9979 0.7500
0.0000 0.0021 0.2500
0.5000 0.5022 0.2500
0.5000 0.4978 0.7500
0.0000 0.0000 0.5000
0.0000 0.0000 0.0000



PBE PmP2Ru, optimized geometry; energy above the most stable polymorph in this dataset = 0.0 meV/atom; calculated volume = 17.6 Å³/atom; energy relative to the elements = -0.93 eV/atom; density = 7.25 g/cm3; space-group type = No. 166
1.0
4.0416 0.0000 0.0000
2.0208 3.5002 0.0000
2.0208 1.1667 4.9897
Ru P Pm
1 2 1
Direct
0.5000 0.5000 0.5000
0.2164 0.2164 0.3507
0.7836 0.7836 0.6493
0.0000 0.0000 0.0000



PBE PmP2Ru, optimized geometry; energy above the most stable polymorph in this dataset = 640.5 meV/atom; calculated volume = 17.5 Å³/atom; energy relative to the elements = -0.29 eV/atom; density = 7.33 g/cm3; space-group type = No. 123
1.0
-3.1442 -0.6046 0.7429
1.2131 -0.9801 4.3367
-0.5762 4.4227 1.1607
Pm P Ru
1 2 1
Direct
0.5000 0.0000 0.0000
0.0000 0.0000 0.5000
0.0000 0.5000 0.0000
0.5000 0.5000 0.5000



PBE PmP3Ru5, optimized geometry; calculated volume = 15.8 Å³/atom; energy relative to the elements = -0.58 eV/atom; density = 8.66 g/cm3; space-group type = No. 63
1.0
-0.8301 -0.1274 -3.8063
2.2808 -5.7314 1.6902
-11.1372 -3.6795 2.5519
P Ru Pm
6 10 2
Direct
0.8696 0.7392 0.2500
0.1304 0.2608 0.7500
0.3868 0.7736 0.9551
0.3868 0.7736 0.5449
0.6132 0.2264 0.4551
0.6132 0.2264 0.0449
0.2059 0.4118 0.5742
0.0000 0.0000 0.5000
0.0000 0.0000 0.0000
0.5567 0.1135 0.8529
0.2059 0.4118 0.9258
0.7941 0.5882 0.4258
0.4433 0.8865 0.3529
0.7941 0.5882 0.0742
0.5567 0.1135 0.6471
0.4433 0.8865 0.1471
0.8391 0.6782 0.7500
0.1609 0.3218 0.2500



PBE PmP2Ru4, optimized geometry; energy above the most stable polymorph in this dataset = 54.4 meV/atom; calculated volume = 15.6 Å³/atom; energy relative to the elements = -0.63 eV/atom; density = 9.29 g/cm3; space-group type = No. 65
1.0
3.9944 0.0000 0.0000
0.0000 3.8686 -1.1490
0.0000 -0.0055 7.0687
Ru P Pm
4 2 1
Direct
0.0000 0.3164 0.6328
0.5000 0.1798 0.3596
0.5000 0.8202 0.6404
0.0000 0.6836 0.3672
0.5000 0.4091 0.8182
0.5000 0.5909 0.1818
0.0000 0.0000 0.0000



Please write out number 8 again, unchanged.
PBE PmP2Ru4, optimized geometry; energy above the most stable polymorph in this dataset = 54.4 meV/atom; calculated volume = 15.6 Å³/atom; energy relative to the elements = -0.63 eV/atom; density = 9.29 g/cm3; space-group type = No. 65
1.0
3.9944 0.0000 0.0000
0.0000 3.8686 -1.1490
0.0000 -0.0055 7.0687
Ru P Pm
4 2 1
Direct
0.0000 0.3164 0.6328
0.5000 0.1798 0.3596
0.5000 0.8202 0.6404
0.0000 0.6836 0.3672
0.5000 0.4091 0.8182
0.5000 0.5909 0.1818
0.0000 0.0000 0.0000



Question: Among the records above, which one has the lowest density?
Answer: PmP12Ru4



Repeat the second record exactly.
PBE PmP12Ru4, optimized geometry; calculated volume = 15.6 Å³/atom; energy relative to the elements = -0.65 eV/atom; density = 5.77 g/cm3; space-group type = No. 204
1.0
-0.1362 -6.0237 -3.5794
5.9158 3.4579 -1.4704
-0.2658 -1.3585 6.8701
P Ru Pm
12 4 1
Direct
0.6425 0.7858 0.1434
0.5009 0.1434 0.3575
0.2142 0.8566 0.3575
0.4991 0.8566 0.6425
0.6425 0.4991 0.8566
0.7858 0.1434 0.6425
0.1434 0.6425 0.7858
0.3575 0.2142 0.8566
0.1434 0.3575 0.5009
0.8566 0.3575 0.2142
0.3575 0.5009 0.1434
0.8566 0.6425 0.4991
0.5000 0.5000 0.5000
0.0000 0.5000 0.0000
0.5000 0.0000 0.0000
0.0000 0.0000 0.5000
0.0000 0.0000 0.0000



Question: Among the records above, which one has the lowest calculated volume?
Answer: number 1